# 1
## TlAs2 (PBE-GGA)

Data for a relaxed structure of TlAs2.

Cell and atoms, written as CIF:
```
data_TlAs2
_chemical_formula_sum 'Tl2 As4'
_symmetry_space_group_name_H-M 'P 63/m m c'
_symmetry_Int_Tables_number 194
_symmetry_space_group_name_Hall '-P 6c 2c'
_cell_length_a 3.6898
_cell_length_b 3.6898
_cell_length_c 13.6775
_cell_angle_alpha 90.00
_cell_angle_beta 90.00
_cell_angle_gamma 120.00
loop_
_atom_site_label
_atom_site_type_symbol
_atom_site_fract_x
_atom_site_fract_y
_atom_site_fract_z
_atom_site_occupancy
Tl1 Tl 0.3333 0.6667 0.2500 1
As1 As 0.3333 0.6667 0.5510 1
```

# 2
# PBE-GGA Tl5As, optimized geometry
data_Tl5As
_chemical_formula_sum 'Tl20 As4'
_symmetry_space_group_name_H-M 'I 4/m c m'
_symmetry_Int_Tables_number 140
_symmetry_space_group_name_Hall '-I 4 2c'
_cell_length_a 7.376
_cell_length_b 7.376
_cell_length_c 13.871
_cell_angle_alpha 90.00
_cell_angle_beta 90.00
_cell_angle_gamma 90.00
loop_
_atom_site_label
_atom_site_type_symbol
_atom_site_fract_x
_atom_site_fract_y
_atom_site_fract_z
_atom_site_occupancy
Tl1 Tl 0.000 0.000 0.000 1
Tl2 Tl 0.157 0.343 0.143 1
As1 As 0.000 0.000 0.250 1
# Offset from the most stable computed form ... 8 meV per atom

# 3
## TlAs2 (PBE-GGA)

Data for a relaxed structure of TlAs2.

Cell and atoms, written as CIF:
```
data_TlAs2
_chemical_formula_sum 'Tl3 As6'
_symmetry_space_group_name_H-M 'P -6 2 m'
_symmetry_Int_Tables_number 189
_symmetry_space_group_name_Hall 'P -6 -2'
_cell_length_a 9.7094
_cell_length_b 9.7094
_cell_length_c 3.6958
_cell_angle_alpha 90.00
_cell_angle_beta 90.00
_cell_angle_gamma 120.00
loop_
_atom_site_label
_atom_site_type_symbol
_atom_site_fract_x
_atom_site_fract_y
_atom_site_fract_z
_atom_site_occupancy
Tl1 Tl 0.0000 0.0000 0.0000 1
Tl2 Tl 0.3333 0.6667 0.5000 1
As1 As 0.0000 0.2773 0.5000 1
As2 As 0.0000 0.4396 0.0000 1
```

# 4
# PBE-GGA Tl6As, optimized geometry
data_Tl6As
_chemical_formula_sum 'Tl24 As4'
_symmetry_space_group_name_H-M 'C m c m'
_symmetry_Int_Tables_number 63
_symmetry_space_group_name_Hall '-C 2c 2'
_cell_length_a 9.742
_cell_length_b 8.946
_cell_length_c 9.969
_cell_angle_alpha 90.00
_cell_angle_beta 90.00
_cell_angle_gamma 90.00
loop_
_atom_site_label
_atom_site_type_symbol
_atom_site_fract_x
_atom_site_fract_y
_atom_site_fract_z
_atom_site_occupancy
Tl1 Tl 0.000 0.167 0.082 1
Tl2 Tl 0.178 0.223 0.750 1
Tl3 Tl 0.185 0.500 0.000 1
As1 As 0.000 0.468 0.250 1
# Offset from the most stable computed form ... 0 meV per atom

# 5
## TlAs (PBE-GGA)

Data for a relaxed structure of TlAs.

Cell and atoms, written as CIF:
```
data_TlAs
_chemical_formula_sum 'Tl2 As2'
_symmetry_space_group_name_H-M 'P -3 m 1'
_symmetry_Int_Tables_number 164
_symmetry_space_group_name_Hall '-P 3 2"'
_cell_length_a 3.6338
_cell_length_b 3.6338
_cell_length_c 9.6889
_cell_angle_alpha 90.00
_cell_angle_beta 90.00
_cell_angle_gamma 120.00
loop_
_atom_site_label
_atom_site_type_symbol
_atom_site_fract_x
_atom_site_fract_y
_atom_site_fract_z
_atom_site_occupancy
Tl1 Tl 0.3333 0.6667 0.1470 1
As1 As 0.3333 0.6667 0.5738 1
```

# 6
## Tl3As (PBE-GGA)

Data for a relaxed structure of Tl3As.

Cell and atoms, written as CIF:
```
data_Tl3As
_chemical_formula_sum 'Tl6 As2'
_symmetry_space_group_name_H-M 'C m m m'
_symmetry_Int_Tables_number 65
_symmetry_space_group_name_Hall '-C 2 2'
_cell_length_a 6.534
_cell_length_b 10.228
_cell_length_c 3.357
_cell_angle_alpha 90.00
_cell_angle_beta 90.00
_cell_angle_gamma 90.00
loop_
_atom_site_label
_atom_site_type_symbol
_atom_site_fract_x
_atom_site_fract_y
_atom_site_fract_z
_atom_site_occupancy
Tl1 Tl 0.000 0.000 0.000 1
Tl2 Tl 0.250 0.250 0.500 1
As1 As 0.000 0.500 0.000 1
```

# 7
## Tl3As (PBE-GGA)

Data for a relaxed structure of Tl3As.

Cell and atoms, written as CIF:
```
data_Tl3As
_chemical_formula_sum 'Tl3 As1'
_symmetry_space_group_name_H-M 'P m m 2'
_symmetry_Int_Tables_number 25
_symmetry_space_group_name_Hall 'P 2 -2'
_cell_length_a 3.391
_cell_length_b 5.100
_cell_length_c 6.660
_cell_angle_alpha 90.00
_cell_angle_beta 90.00
_cell_angle_gamma 90.00
loop_
_atom_site_label
_atom_site_type_symbol
_atom_site_fract_x
_atom_site_fract_y
_atom_site_fract_z
_atom_site_occupancy
Tl1 Tl 0.000 0.000 0.000 1
Tl2 Tl 0.000 0.500 0.321 1
Tl3 Tl 0.500 0.500 0.783 1
As1 As 0.500 0.000 0.518 1
```

# 8
# PBE-GGA Tl5As, optimized geometry
data_Tl5As
_chemical_formula_sum 'Tl5 As1'
_symmetry_space_group_name_H-M 'P 6/m m m'
_symmetry_Int_Tables_number 191
_symmetry_space_group_name_Hall '-P 6 2'
_cell_length_a 6.2148
_cell_length_b 6.2148
_cell_length_c 5.9254
_cell_angle_alpha 90.00
_cell_angle_beta 90.00
_cell_angle_gamma 120.00
loop_
_atom_site_label
_atom_site_type_symbol
_atom_site_fract_x
_atom_site_fract_y
_atom_site_fract_z
_atom_site_occupancy
Tl1 Tl 0.0000 0.5000 0.0000 1
Tl2 Tl 0.3333 0.6667 0.5000 1
As1 As 0.0000 0.0000 0.5000 1
# Offset from the most stable computed form ... 289 meV per atom

Across the entries above, formation enthalpy at 0 K takes the values 12, 22, 43, 15, 9, 50, 46, 185 kJ/mol of formula units, respectively.